# 1
First-principles (PBE) data for a geometry-optimized CuTcW2 structure, as listed in Alexandria via LeMat-Bulk.

The total moment is 0.0 μB/f.u. The calculation puts the calculated total energy at -9.830 eV/atom.

The structure belongs to space group Cmmm (No. 65); the cell edges are 3.189, 4.339 and 8.646 Å and the angles 90.00°, 90.00° and 90.00°. The distinct sites, in fractional coordinates, are Cu at (0.000, 0.000, 0.000), Tc at (0.000, 0.000, 0.500) and W at (0.000, 0.500, 0.247).

---

# 2
First-principles (PBE) data for a geometry-optimized Sr2TmGe3Pd4 structure, as listed in Alexandria via LeMat-Bulk.

The total moment is 0.0 μB/f.u. The calculation puts the calculated total energy at -5.009 eV/atom.

The structure belongs to space group P-4m2 (No. 115); the cell edges are 4.401, 4.401 and 11.040 Å and the angles 90.00°, 90.00° and 90.00°. The distinct sites, in fractional coordinates, are Sr at (0.000, 0.500, 0.230), Tm at (0.000, 0.000, 0.500), Ge at (0.000, 0.500, 0.882), Ge at (0.500, 0.500, 0.500), Pd at (0.000, 0.000, 0.000), Pd at (0.000, 0.500, 0.654) and Pd at (0.500, 0.500, 0.000).

---

# 3
First-principles (PBE) data for a geometry-optimized Zn2RuBr structure, as listed in Alexandria via LeMat-Bulk.

The total moment is 0.0 μB/f.u. The calculation puts the calculated total energy at -3.237 eV/atom. Its uncorrected formation energy is 0.137 eV/atom.

The structure belongs to space group Cm (No. 8); the cell edges are 8.737, 3.095 and 6.368 Å and the angles 90.00°, 102.15° and 90.00°. The distinct sites, in fractional coordinates, are Zn at (0.000, 0.000, 0.000), Zn at (0.244, 0.000, 0.798), Ru at (0.240, 0.500, 0.113) and Br at (0.333, 0.000, 0.441).

---

# 4
First-principles (PBE) data for a geometry-optimized Cs3SrAg2Cl9 structure, as listed in Alexandria via LeMat-Bulk.

The total moment is 0.0 μB/f.u. The calculation puts the calculated total energy at -3.216 eV/atom. Its uncorrected formation energy is -1.445 eV/atom.

The structure belongs to space group P-3m1 (No. 164); the cell edges are 7.5842, 7.5842 and 9.3872 Å and the angles 90.00°, 90.00° and 120.00°. The distinct sites, in fractional coordinates, are Cs at (0.0000, 0.0000, 0.0000), Cs at (0.3333, 0.6667, 0.6722), Sr at (0.0000, 0.0000, 0.5000), Ag at (0.3333, 0.6667, 0.1520), Cl at (0.0000, 0.5000, 0.0000) and Cl at (0.1731, 0.3461, 0.3182).